Entry 1:
Computed, not measured: a relaxed IrWI2N crystal at the GGA-PBE level of DFT.

Summary:
Spin magnetization = 0.00 Bohr magnetons per cell
E_form (uncorrected) = 1.204 eV/atom
Calculated volume = 110.58 Å³/f.u.

Lattice parameters (Å, degrees): 5.419 5.419 3.765 90.00 90.00 90.00
Fractional coordinates of all 5 atoms:
Ir  0.500  0.500  0.500
I  0.500  0.000  0.000
I  0.000  0.500  0.000
N  0.000  0.000  0.500
W  0.000  0.000  0.000

Entry 2:
Computed, not measured: a relaxed Ac2DyPb crystal at the GGA-PBE level of DFT.

Summary:
Spin magnetization = 0.00 Bohr magnetons per cell
Energy relative to the elements = -222.3 meV per atom
Calculated volume = 141.46 Å³/f.u.

Lattice parameters (Å, degrees): 5.168 5.232 5.232 90.00 90.00 90.00
Fractional coordinates of all 4 atoms:
Pb  0.500  0.500  0.500
Ac  0.000  0.500  0.000
Ac  0.000  0.000  0.500
Dy  0.500  0.000  0.000

Entry 3:
Computed, not measured: a relaxed ZrTiMnTc crystal at the GGA-PBE level of DFT.

Summary:
Spin magnetization = 1.29 Bohr magnetons per cell
Energy relative to the elements = -239.8 meV per atom
Calculated volume = 63.51 Å³/f.u.

Lattice parameters (Å, degrees): 4.478 4.478 4.478 60.00 60.00 60.00
Fractional coordinates of all 4 atoms:
Ti  0.500  0.500  0.500
Tc  0.250  0.250  0.250
Zr  0.000  0.000  0.000
Mn  0.750  0.750  0.750

Entry 4:
Computed, not measured: a relaxed Sc3In3NiRu2 crystal at the GGA-PBE level of DFT.

Summary:
Spin magnetization = 0.00 Bohr magnetons per cell
Energy relative to the elements = -400.9 meV per atom
Calculated volume = 168.46 Å³/f.u.

Lattice parameters (Å, degrees): 3.442 7.518 7.518 120.00 90.00 90.00
Fractional coordinates of all 9 atoms:
Ru  0.500  0.667  0.333
Ru  0.500  0.333  0.667
In  0.500  0.000  0.737
In  0.500  0.737  0.000
In  0.500  0.263  0.263
Ni  0.000  0.000  0.000
Sc  0.000  0.402  0.000
Sc  0.000  0.000  0.402
Sc  0.000  0.598  0.598

- What is the spin magnetization in the fourth record?
  0.00 Bohr magnetons per cell

- Number 4 is which compound?
  Sc3In3NiRu2

- calculated volume of number 2 (Ac2DyPb)?
  141.46 Å³/f.u.